<w>
LuB2 after structural relaxation. Source: the Alexandria database, functional PBE.

## Properties
* N(E_F): 0.301 states/eV/atom
* space group: No. 191

abc: 3.240 3.240 3.720
angles: 90.00 90.00 120.00
Fractional coordinates of all 3 atoms:
Lu: 0.000 0.000 0.000
B: 0.333 0.667 0.500
B: 0.667 0.333 0.500

=====

<x>
LuB2 after structural relaxation. Source: the Alexandria database, functional PBE.

## Properties
* N(E_F): 0.497 states/eV/atom
* space group: No. 139

abc: 2.808 2.808 4.885
angles: 106.70 106.70 90.00
Fractional coordinates of all 3 atoms:
B: 0.286 0.286 0.573
B: 0.714 0.714 0.427
Lu: 0.000 0.000 0.000

=====

Most stable to least stable, the ends of the list are <w> and <x>.

=====

<w>
LuBOs after structural relaxation. Source: the Alexandria database, functional PBE.

## Properties
* N(E_F): 0.529 states/eV/atom
* space group: No. 187

abc: 4.166 3.642 3.642
angles: 120.00 90.00 90.00
Fractional coordinates of all 3 atoms:
Os: 0.167 0.000 0.000
Lu: 0.667 0.333 0.667
B: 0.166 0.667 0.333

=====

<x>
LuBOs after structural relaxation. Source: the Alexandria database, functional PBE.

## Properties
* N(E_F): 0.284 states/eV/atom
* space group: No. 107

abc: 2.998 2.998 5.283
angles: 106.48 106.48 90.00
Fractional coordinates of all 3 atoms:
Lu: 0.005 0.005 0.009
Os: 0.287 0.287 0.575
B: 0.708 0.708 0.416

=====

Most stable to least stable, the ends of the list are <w> and <x>.

=====

<w>
LuB4Rh4 after structural relaxation. Source: the Alexandria database, functional PBE.

## Properties
* N(E_F): 0.431 states/eV/atom
* space group: No. 68

abc: 7.489 7.510 11.795
angles: 90.00 108.51 90.00
Fractional coordinates of all 54 atoms:
Rh: 0.174 0.844 0.583
Rh: 0.326 0.656 0.417
Rh: 0.091 0.344 0.417
Rh: 0.720 0.384 0.749
Rh: 0.192 0.121 0.088
Rh: 0.104 0.879 0.912
Rh: 0.472 0.884 0.251
Rh: 0.028 0.616 0.749
Rh: 0.896 0.879 0.088
Rh: 0.674 0.656 0.583
Rh: 0.780 0.116 0.251
Rh: 0.409 0.156 0.583
Rh: 0.396 0.621 0.088
Rh: 0.280 0.384 0.251
Rh: 0.591 0.156 0.417
Rh: 0.972 0.616 0.251
Rh: 0.604 0.621 0.912
Rh: 0.528 0.884 0.749
Rh: 0.826 0.844 0.417
Rh: 0.220 0.116 0.749
Rh: 0.909 0.344 0.583
Rh: 0.808 0.121 0.912
Rh: 0.692 0.379 0.088
Rh: 0.308 0.379 0.912
B: 0.593 0.332 0.895
B: 0.302 0.668 0.895
B: 0.198 0.832 0.105
B: 0.109 0.136 0.557
B: 0.948 0.636 0.557
B: 0.973 0.330 0.220
B: 0.754 0.670 0.780
B: 0.448 0.864 0.557
B: 0.891 0.136 0.443
B: 0.698 0.668 0.105
B: 0.093 0.168 0.895
B: 0.527 0.170 0.780
B: 0.609 0.364 0.557
B: 0.254 0.830 0.780
B: 0.407 0.332 0.105
B: 0.907 0.168 0.105
B: 0.246 0.670 0.220
B: 0.802 0.832 0.895
B: 0.473 0.170 0.220
B: 0.052 0.636 0.443
B: 0.027 0.330 0.780
B: 0.746 0.830 0.220
B: 0.391 0.364 0.443
B: 0.552 0.864 0.443
Lu: 0.500 0.000 0.000
Lu: 0.332 0.500 0.665
Lu: 0.000 0.500 0.000
Lu: 0.832 0.000 0.665
Lu: 0.668 0.500 0.335
Lu: 0.168 0.000 0.335

=====

<x>
LuB4Rh4 after structural relaxation. Source: the Alexandria database, functional PBE.

## Properties
* N(E_F): 0.589 states/eV/atom
* space group: No. 142

abc: 9.137 9.137 9.137
angles: 131.43 131.43 71.12
Fractional coordinates of all 36 atoms:
Rh: 0.429 0.659 0.461
Rh: 0.841 0.071 0.539
Rh: 0.409 0.448 0.730
Rh: 0.929 0.468 0.770
Rh: 0.321 0.591 0.039
Rh: 0.909 0.179 0.961
Rh: 0.821 0.782 0.730
Rh: 0.218 0.948 0.039
Rh: 0.052 0.091 0.270
Rh: 0.532 0.302 0.461
Rh: 0.552 0.282 0.961
Rh: 0.198 0.968 0.539
Rh: 0.698 0.159 0.230
Rh: 0.718 0.679 0.270
Rh: 0.341 0.802 0.770
Rh: 0.032 0.571 0.230
B: 0.219 0.253 0.307
B: 0.445 0.753 0.034
B: 0.945 0.912 0.693
B: 0.305 0.497 0.466
B: 0.719 0.412 0.966
B: 0.503 0.969 0.807
B: 0.088 0.781 0.034
B: 0.162 0.695 0.193
B: 0.003 0.195 0.534
B: 0.662 0.469 0.466
B: 0.247 0.281 0.693
B: 0.588 0.555 0.307
B: 0.805 0.338 0.807
B: 0.747 0.055 0.966
B: 0.531 0.997 0.193
B: 0.031 0.838 0.534
Lu: 0.250 0.250 0.000
Lu: 0.750 0.750 0.000
Lu: 0.000 0.500 0.500
Lu: 0.500 0.000 0.500

=====

Most stable to least stable, the ends of the list are <w> and <x>.

=====

<w>
LuB4Ru after structural relaxation. Source: the Alexandria database, functional PBE.

## Properties
* N(E_F): 0.172 states/eV/atom
* space group: No. 55

abc: 3.521 5.909 11.423
angles: 90.00 90.00 90.00
Fractional coordinates of all 24 atoms:
Lu: 0.000 0.371 0.650
Lu: 0.000 0.629 0.350
Lu: 0.000 0.871 0.850
Lu: 0.000 0.129 0.150
B: 0.500 0.613 0.952
B: 0.500 0.792 0.186
B: 0.500 0.635 0.530
B: 0.500 0.113 0.548
B: 0.500 0.365 0.470
B: 0.500 0.477 0.193
B: 0.500 0.208 0.814
B: 0.500 0.865 0.030
B: 0.500 0.387 0.048
B: 0.500 0.523 0.807
B: 0.500 0.135 0.970
B: 0.500 0.977 0.307
B: 0.500 0.292 0.314
B: 0.500 0.023 0.693
B: 0.500 0.708 0.686
B: 0.500 0.887 0.452
Ru: 0.000 0.142 0.407
Ru: 0.000 0.858 0.593
Ru: 0.000 0.642 0.093
Ru: 0.000 0.358 0.907

=====

<x>
LuB4Ru after structural relaxation. Source: the Alexandria database, functional PBE.

## Properties
* N(E_F): 0.547 states/eV/atom
* space group: No. 216

abc: 4.422 4.422 4.422
angles: 60.00 60.00 60.00
Fractional coordinates of all 6 atoms:
Ru: 0.000 0.000 0.000
B: 0.600 0.600 0.199
B: 0.199 0.600 0.600
B: 0.600 0.199 0.600
B: 0.600 0.600 0.600
Lu: 0.250 0.250 0.250

=====

Most stable to least stable, the ends of the list are <w> and <x>.